First-principles (PBE-GGA) data for a relaxed structure of AlMoRh2, as listed in the Alexandria database.

The structure in POSCAR format:
```
AlMoRh2
1.0
-0.855 -1.797 -2.031
2.577 -1.202 -0.022
-2.087 -4.562 4.916
Mo Rh Al
1 2 1
direct
0.500 0.500 0.750
0.000 0.000 0.020
0.000 0.000 0.480
0.500 0.500 0.250
```

Values from the calculation:
Calculated formation energy in meV per atom: -609
Crystal system: tetragonal
Space group: No. 123